A plane-wave DFT calculation with GGA-PBE was carried out for an optimized crystal structure of YTh2Sc.

Cell: 6.0700 6.0700 3.5015 Å, 90.00 90.00 109.27°
Closest atoms and distances in Å follow each position.
Fractional coordinates of all 4 atoms:
Y (0.0000, 0.0000, 0.0000)  2 Y 3.50, 8 Th 3.50, 2 Sc 3.51
Th (0.0000, 0.5000, 0.5000)  4 Th 3.50-3.51, 4 Sc 3.50, 4 Y 3.50
Th (0.5000, 0.0000, 0.5000)  4 Th 3.50-3.51, 4 Sc 3.50, 4 Y 3.50
Sc (0.5000, 0.5000, 0.0000)  2 Sc 3.50, 8 Th 3.50, 2 Y 3.51

Summary:
Total DFT energy (no corrections)   -6.85 eV/atom
Space-group type   Cmmm
ΔE to the lowest computed polymorph   23 meV per atom
Formation energy from the elements   0.062 eV/atom